First-principles (PBE) data for crystalline K2UNiSe4 at its relaxed geometry, as listed in the Alexandria database.

Output
Space group   No. 70

Lattice parameters (Å, degrees): 14.4344 12.8820 7.8018 84.73 62.71 32.56
Closest atoms and distances in Å follow each position.
Fractional coordinates of all 16 atoms:
K  0.0578  0.0578  0.6922  8 Se 3.55-3.97
K  0.3078  0.3078  0.9422  8 Se 3.55-3.97
K  0.6922  0.6922  0.0578  8 Se 3.55-3.97
K  0.9422  0.9422  0.3078  8 Se 3.55-3.97
U  0.1250  0.1250  0.1250  4 Se 2.64
U  0.8750  0.8750  0.8750  4 Se 2.64
Ni  0.3750  0.3750  0.3750  4 Se 2.42
Ni  0.6250  0.6250  0.6250  4 Se 2.42
Se  0.0038  0.3520  0.4575  1 Ni 2.42, 1 U 2.64
Se  0.3133  0.5425  0.6480  1 Ni 2.42, 1 U 2.64
Se  0.3520  0.0038  0.6867  1 Ni 2.42, 1 U 2.64
Se  0.4575  0.6867  0.0038  1 Ni 2.42, 1 U 2.64
Se  0.5425  0.3133  0.9962  1 Ni 2.42, 1 U 2.64
Se  0.6480  0.9962  0.3133  1 Ni 2.42, 1 U 2.64
Se  0.6867  0.4575  0.3520  1 Ni 2.42, 1 U 2.64
Se  0.9962  0.6480  0.5425  1 Ni 2.42, 1 U 2.64

***

First-principles (PBE) data for crystalline K4U3NiSe8 at its relaxed geometry, as listed in the Alexandria database.

Output
Space group   No. 12

Lattice parameters (Å, degrees): 8.2848 8.2848 9.0793 117.18 117.18 59.86
Closest atoms and distances in Å follow each position.
Fractional coordinates of all 16 atoms:
K  0.0000  0.0000  0.0000  6 Se 3.37-3.40
K  0.0000  0.5000  0.0000  6 Se 3.27-3.32
K  0.5000  0.0000  0.0000  6 Se 3.27-3.32
K  0.5000  0.5000  0.0000  6 Se 3.27-3.31
U  0.0000  0.0000  0.5000  6 Se 2.87-2.89
U  0.0000  0.5000  0.5000  6 Se 2.86-2.89
U  0.5000  0.0000  0.5000  6 Se 2.86-2.89
Ni  0.5000  0.5000  0.5000  6 Se 2.77-2.80
Se  0.2369  0.2369  0.7111  3 U 2.89
Se  0.2431  0.7268  0.6971  1 Ni 2.77, 2 U 2.87
Se  0.2706  0.2706  0.3009  1 Ni 2.80, 2 U 2.86
Se  0.2732  0.7569  0.3029  1 Ni 2.77, 2 U 2.87
Se  0.7268  0.2431  0.6971  1 Ni 2.77, 2 U 2.87
Se  0.7294  0.7294  0.6991  1 Ni 2.80, 2 U 2.86
Se  0.7569  0.2732  0.3029  1 Ni 2.77, 2 U 2.87
Se  0.7631  0.7631  0.2889  3 U 2.89

***

First-principles (PBE) data for crystalline KUNi2Se4 at its relaxed geometry, as listed in the Alexandria database.

Output
Space group   No. 23

Lattice parameters (Å, degrees): 6.1140 6.1140 6.1140 115.76 111.46 101.51
Closest atoms and distances in Å follow each position.
Fractional coordinates of all 8 atoms:
K  0.0000  0.0000  0.0000  8 Se 3.06-3.08
U  0.5000  0.5000  0.0000  4 Se 2.83
Ni  0.3303  0.8303  0.5000  4 Se 2.43-2.49, 1 Ni 2.63
Ni  0.6697  0.1697  0.5000  4 Se 2.43-2.49, 1 Ni 2.63
Se  0.0366  0.0429  0.5305  2 Ni 2.43-2.49
Se  0.4876  0.9571  0.9937  2 Ni 2.43-2.49
Se  0.5124  0.5061  0.4695  2 Ni 2.43-2.49
Se  0.9634  0.4939  0.0063  2 Ni 2.43-2.49

***

no.,formation energy from raw total energies (eV per atom),energy (eV per atom)
1,-0.785,-4.94
2,-1.067,-5.56
3,-0.491,-5.23